Material: MgGaTe3
Method: DFT, PBE
State: relaxed

Computed properties:
**Formation energy from raw total energies**: 1.1 eV per formula unit
**SG**: Pm-3m, No. 221

Cell: 5.3944 5.3944 5.3944 Å, 90.00 90.00 90.00°
Atoms (fractional coordinates):
Mg  0.0000  0.0000  0.0000
Ga  0.5000  0.5000  0.5000
Te  0.0000  0.5000  0.5000
Te  0.5000  0.0000  0.5000
Te  0.5000  0.5000  0.0000